Material: Tl5AsSe4Cl2
Method: DFT, PBE
State: relaxed

The space group is Amm2 (No. 38) and the conventional cell measures 10.0209, 10.0371 and 8.0985 Å, with angles of 90.00, 90.00 and 90.00 degrees. The inequivalent atoms are Tl at (0.0000, 0.0000, 0.0000), Tl at (0.2530, 0.1891, 0.4842), As at (0.5000, 0.0000, 0.9288), Se at (0.3060, 0.0000, 0.0967), Se at (0.5000, 0.1948, 0.7677) and Cl at (0.0000, 0.2262, 0.7466).

As for the raw formation energy: -504 meV per atom.